Record 1
Compound: NbTe4Os
Source: OQMD via LeMat-Bulk
Functional: GGA-PBE
Structure: optimized geometry

## Properties
- electronic total energy (eV per atom) = -5.919
- crystal system = orthorhombic
- calculated volume (Å³ per atom) = 26.715
- M_tot (μB per formula unit) = 0.00

Cell lengths 3.7771, 12.5450, 13.5310 Å; angles 90.00, 90.00, 90.00 degrees
Positions (direct):
Nb: 0.0000 0.0588 0.0000
Nb: 0.0000 0.2757 0.4830
Nb: 0.5000 0.7243 0.9830
Nb: 0.5000 0.9412 0.5000
Te: 0.0000 0.0665 0.3883
Te: 0.0000 0.1968 0.8457
Te: 0.0000 0.3464 0.0862
Te: 0.0000 0.4175 0.6330
Te: 0.0000 0.5648 0.3919
Te: 0.0000 0.6747 0.8398
Te: 0.0000 0.8493 0.0983
Te: 0.0000 0.8913 0.6429
Te: 0.5000 0.1087 0.1429
Te: 0.5000 0.1507 0.5983
Te: 0.5000 0.3253 0.3398
Te: 0.5000 0.4352 0.8919
Te: 0.5000 0.5825 0.1330
Te: 0.5000 0.6536 0.5862
Te: 0.5000 0.8032 0.3457
Te: 0.5000 0.9335 0.8883
Os: 0.0000 0.5437 0.9970
Os: 0.0000 0.7624 0.4822
Os: 0.5000 0.2376 0.9822
Os: 0.5000 0.4563 0.4970

---

Record 2
Compound: NbTeOs
Source: OQMD via LeMat-Bulk
Functional: GGA-PBE
Structure: optimized geometry

## Properties
- electronic total energy (eV per atom) = -7.676
- crystal system = cubic
- calculated volume (Å³ per atom) = 21.066
- M_tot (μB per formula unit) = 0.01
- excess energy over the best structure of this formula in the dataset (eV/f.u.) = 1.230

Cell lengths 4.4710, 4.4710, 4.4710 Å; angles 60.00, 60.00, 60.00 degrees
Positions (direct):
Nb: 0.0000 0.0000 0.0000
Te: 0.2500 0.2500 0.2500
Os: 0.7500 0.7500 0.7500

---

Record 3
Compound: ThNbOs
Source: OQMD via LeMat-Bulk
Functional: GGA-PBE
Structure: optimized geometry

## Properties
- electronic total energy (eV per atom) = -9.352
- crystal system = cubic
- calculated volume (Å³ per atom) = 24.124
- energy relative to the elements (eV/atom) = 0.226
- M_tot (μB per formula unit) = 0.00
- excess energy over the best structure of this formula in the dataset (eV/f.u.) = 0.000

Cell lengths 4.6777, 4.6777, 4.6777 Å; angles 60.00, 60.00, 60.00 degrees
Positions (direct):
Th: 0.0000 0.0000 0.0000
Nb: 0.5000 0.5000 0.5000
Os: 0.7500 0.7500 0.7500

---

What did the first record say?
Compound: NbTe4Os
Source: OQMD via LeMat-Bulk
Functional: GGA-PBE
Structure: optimized geometry

## Properties
- electronic total energy (eV per atom) = -5.919
- crystal system = orthorhombic
- calculated volume (Å³ per atom) = 26.715
- M_tot (μB per formula unit) = 0.00

Cell lengths 3.7771, 12.5450, 13.5310 Å; angles 90.00, 90.00, 90.00 degrees
Positions (direct):
Nb: 0.0000 0.0588 0.0000
Nb: 0.0000 0.2757 0.4830
Nb: 0.5000 0.7243 0.9830
Nb: 0.5000 0.9412 0.5000
Te: 0.0000 0.0665 0.3883
Te: 0.0000 0.1968 0.8457
Te: 0.0000 0.3464 0.0862
Te: 0.0000 0.4175 0.6330
Te: 0.0000 0.5648 0.3919
Te: 0.0000 0.6747 0.8398
Te: 0.0000 0.8493 0.0983
Te: 0.0000 0.8913 0.6429
Te: 0.5000 0.1087 0.1429
Te: 0.5000 0.1507 0.5983
Te: 0.5000 0.3253 0.3398
Te: 0.5000 0.4352 0.8919
Te: 0.5000 0.5825 0.1330
Te: 0.5000 0.6536 0.5862
Te: 0.5000 0.8032 0.3457
Te: 0.5000 0.9335 0.8883
Os: 0.0000 0.5437 0.9970
Os: 0.0000 0.7624 0.4822
Os: 0.5000 0.2376 0.9822
Os: 0.5000 0.4563 0.4970

---

Question: Number 1 is which compound?
Answer: NbTe4Os

---

Question: Which value of M_tot does entry 1 give?
Answer: 0.00 μB per formula unit

---

Question: Which of these has the lowest calculated volume?
Answer: NbTeOs